1.
Tb2Sm2Mg, optimized geometry, DFT GGA-PBE; calculated density = 6.87 g cm⁻³; excess energy over the best structure of this formula in the dataset = 0.0 meV per atom; energy of formation = -0.02 eV per atom
1.0
3.568 0.000 -0.572
-0.092 3.567 -0.572
0.123 0.126 12.170
Tb Mg Sm
2 1 2
Direct
0.803 0.803 0.605 Tb
0.197 0.197 0.395 Tb
0.000 0.000 0.000 Mg
0.593 0.593 0.186 Sm
0.407 0.407 0.814 Sm



2.
Tb12Sm6Mg, optimized geometry, DFT GGA-PBE; calculated density = 7.56 g cm⁻³; excess energy over the best structure of this formula in the dataset = 0.0 meV per atom; energy of formation = 0.13 eV per atom
1.0
8.469 0.695 0.832
-0.597 8.477 0.832
-0.597 -0.696 8.489
Sm Tb Mg
6 12 1
Direct
0.738 0.905 0.299 Sm
0.701 0.262 0.095 Sm
0.095 0.701 0.262 Sm
0.905 0.299 0.738 Sm
0.262 0.095 0.701 Sm
0.299 0.738 0.905 Sm
0.565 0.221 0.462 Tb
0.813 0.638 0.985 Tb
0.435 0.779 0.538 Tb
0.538 0.435 0.779 Tb
0.015 0.187 0.362 Tb
0.638 0.985 0.813 Tb
0.221 0.462 0.565 Tb
0.462 0.565 0.221 Tb
0.779 0.538 0.435 Tb
0.187 0.362 0.015 Tb
0.362 0.015 0.187 Tb
0.985 0.813 0.638 Tb
0.000 0.000 0.000 Mg



3.
Tb4Sm5Mg2, optimized geometry, DFT GGA-PBE; calculated density = 6.88 g cm⁻³; excess energy over the best structure of this formula in the dataset = 24.4 meV per atom; energy of formation = 0.08 eV per atom
1.0
-2.653 -0.442 2.202
-3.418 -5.998 -5.325
6.181 -7.639 5.915
Tb Sm Mg
4 5 2
Direct
0.500 0.851 0.113 Tb
0.500 0.283 0.451 Tb
0.500 0.149 0.887 Tb
0.500 0.717 0.549 Tb
0.000 0.431 0.704 Sm
0.000 0.569 0.296 Sm
0.000 0.500 0.000 Sm
0.000 0.204 0.167 Sm
0.000 0.796 0.833 Sm
0.000 0.054 0.632 Mg
0.000 0.946 0.368 Mg



4.
Tb3Sm8Mg2, optimized geometry, DFT GGA-PBE; calculated density = 6.90 g cm⁻³; energy of formation = 0.02 eV per atom
1.0
-1.533 -6.673 5.154
7.002 -6.894 3.452
3.753 1.473 5.379
Tb Sm Mg
3 8 2
Direct
0.308 0.006 0.929 Tb
0.000 0.500 0.500 Tb
0.692 0.994 0.071 Tb
0.059 0.851 0.409 Sm
0.191 0.293 0.122 Sm
0.226 0.664 0.018 Sm
0.809 0.707 0.878 Sm
0.774 0.336 0.982 Sm
0.458 0.828 0.528 Sm
0.542 0.172 0.472 Sm
0.941 0.149 0.591 Sm
0.592 0.567 0.300 Mg
0.408 0.433 0.700 Mg



5.
TbSmMg4, optimized geometry, DFT GGA-PBE; calculated density = 4.25 g cm⁻³; energy of formation = -0.08 eV per atom
1.0
5.052 0.000 1.461
2.884 4.368 -0.505
0.404 -2.461 8.068
Tb Sm Mg
1 1 4
Direct
0.500 0.500 0.500 Tb
0.000 0.000 0.000 Sm
0.919 0.414 0.748 Mg
0.584 0.083 0.749 Mg
0.416 0.917 0.251 Mg
0.081 0.586 0.252 Mg



6.
Tb8Sm3Mg, optimized geometry, DFT GGA-PBE; calculated density = 7.54 g cm⁻³; energy of formation = 0.03 eV per atom
1.0
3.323 0.015 -1.371
0.109 13.060 0.403
-0.131 7.903 9.189
Sm Tb Mg
3 8 1
Direct
0.399 0.467 0.149 Sm
0.596 0.254 0.846 Sm
0.410 0.735 0.159 Sm
0.600 0.799 0.850 Tb
0.805 0.579 0.555 Tb
0.018 0.077 0.768 Tb
0.797 0.852 0.546 Tb
0.202 0.139 0.452 Tb
0.387 0.209 0.137 Tb
0.986 0.917 0.236 Tb
0.207 0.411 0.457 Tb
0.593 0.529 0.843 Mg



7.
Tb3Sm2Mg, optimized geometry, DFT GGA-PBE; calculated density = 6.78 g cm⁻³; excess energy over the best structure of this formula in the dataset = 374.1 meV per atom; energy of formation = 0.38 eV per atom
1.0
-3.091 -0.222 1.179
-3.042 -6.667 -9.232
4.339 -0.683 6.588
Sm Tb Mg
2 3 1
Direct
0.171 0.915 0.343 Sm
0.829 0.573 0.657 Sm
0.664 0.658 0.329 Tb
0.336 0.330 0.671 Tb
0.000 0.012 0.000 Tb
0.500 0.256 0.000 Mg



8.
TbSmMg, optimized geometry, DFT GGA-PBE; calculated density = 6.22 g cm⁻³; excess energy over the best structure of this formula in the dataset = 93.8 meV per atom; energy of formation = 0.04 eV per atom
1.0
3.421 0.000 0.000
0.000 5.485 0.000
0.000 -2.742 4.750
Mg Tb Sm
1 1 1
Direct
0.674 0.667 0.333 Mg
0.947 0.000 0.000 Tb
0.379 0.333 0.667 Sm



9.
TbSmMg4, optimized geometry, DFT GGA-PBE; calculated density = 4.27 g cm⁻³; energy of formation = -0.08 eV per atom
1.0
-1.743 -5.780 -0.609
-0.261 -2.525 -5.511
4.042 -4.236 -1.591
Mg Sm Tb
4 1 1
Direct
0.625 0.625 0.625 Mg
0.125 0.625 0.625 Mg
0.625 0.125 0.625 Mg
0.625 0.625 0.125 Mg
0.250 0.250 0.250 Sm
0.000 0.000 0.000 Tb



10.
TbSm5Mg6, optimized geometry, DFT GGA-PBE; calculated density = 5.17 g cm⁻³; energy of formation = -0.10 eV per atom
1.0
5.153 -0.031 1.717
0.041 7.672 0.014
-0.001 -0.015 8.592
Sm Tb Mg
5 1 6
Direct
0.334 0.000 0.332 Sm
0.332 0.500 0.335 Sm
0.000 0.500 0.000 Sm
0.666 0.000 0.668 Sm
0.668 0.500 0.665 Sm
0.000 0.000 0.000 Tb
0.500 0.249 0.000 Mg
0.500 0.751 0.000 Mg
0.166 0.752 0.668 Mg
0.834 0.752 0.332 Mg
0.166 0.248 0.668 Mg
0.834 0.248 0.332 Mg



11.
TbSm14Mg, optimized geometry, DFT GGA-PBE; calculated density = 7.21 g cm⁻³; energy of formation = 0.01 eV per atom
1.0
-2.464 5.083 -4.449
-6.444 -3.190 -0.074
-2.874 5.620 8.012
Sm Mg Tb
14 1 1
Direct
0.875 0.626 0.000 Sm
0.125 0.375 0.248 Sm
0.375 0.125 0.500 Sm
0.625 0.375 0.753 Sm
0.875 0.125 0.500 Sm
0.125 0.875 0.752 Sm
0.374 0.125 0.000 Sm
0.875 0.625 0.500 Sm
0.375 0.625 0.500 Sm
0.625 0.875 0.752 Sm
0.125 0.875 0.248 Sm
0.125 0.375 0.752 Sm
0.625 0.875 0.248 Sm
0.625 0.375 0.247 Sm
0.874 0.126 0.000 Mg
0.375 0.625 0.000 Tb



12.
TbSm4Mg7, optimized geometry, DFT GGA-PBE; calculated density = 4.44 g cm⁻³; energy of formation = 0.13 eV per atom
1.0
-1.480 4.158 -3.635
3.232 -3.521 -9.840
-6.049 -0.183 -2.243
Mg Sm Tb
7 4 1
Direct
0.779 0.923 0.519 Mg
0.370 0.504 0.755 Mg
0.221 0.077 0.481 Mg
0.500 0.000 0.000 Mg
0.072 0.684 0.173 Mg
0.928 0.316 0.827 Mg
0.630 0.496 0.245 Mg
0.236 0.332 0.196 Sm
0.384 0.779 0.453 Sm
0.616 0.221 0.547 Sm
0.764 0.668 0.804 Sm
0.000 0.000 0.000 Tb